[1]
VASP calculation (PBEsol) on ZnCu2SnSe2S2 after structural relaxation.

Cell lengths 5.5076, 5.5076, 6.7484 Å; angles 113.82, 113.82, 90.59 degrees
Atoms (fractional coordinates):
Zn (0.9890, 0.9890, 0.9780)
Cu (0.2611, 0.7611, 0.5222)
Cu (0.7611, 0.2611, 0.5222)
Sn (0.4961, 0.4961, 0.9921)
Se (0.3706, 0.8966, 0.2672)
Se (0.8966, 0.3706, 0.2672)
S (0.6194, 0.6194, 0.7255)
S (0.1061, 0.1061, 0.7255)

Computed properties:
For the uncorrected formation energy, the calculation gives -0.41 eV/atom. Its total moment is 0.000 μB per atom. The total energy comes out at -34.25 eV/cell. Its symmetry is Fmm2.

---

[2]
VASP calculation (PBEsol) on La3BiPt after structural relaxation.

Cell lengths 5.9197, 5.9197, 5.9197 Å; angles 90.00, 90.00, 90.00 degrees
Atoms (fractional coordinates):
Bi (0.0000, 0.0000, 0.0000)
Pt (0.5000, 0.5000, 0.5000)
La (0.0000, 0.5000, 0.0000)
La (0.0000, 0.0000, 0.5000)
La (0.5000, 0.0000, 0.0000)

Computed properties:
Its total moment is 0.063 μB per atom. The total energy comes out at -24.40 eV/cell. Its symmetry is Pm-3m.

---

[3]
VASP calculation (PBEsol) on NiSeN2 after structural relaxation.

Cell lengths 3.0075, 3.0075, 6.0209 Å; angles 75.54, 75.54, 60.00 degrees
Atoms (fractional coordinates):
Ni (0.0000, 0.0000, 0.0000)
Se (0.5000, 0.5000, 0.5000)
N (0.8972, 0.8972, 0.3083)
N (0.1028, 0.1028, 0.6917)

Computed properties:
For the uncorrected formation energy, the calculation gives 0.88 eV/atom. Its total moment is 0.000 μB per atom. The total energy comes out at -23.56 eV/cell. Its symmetry is R-3m.

---

[4]
VASP calculation (PBEsol) on BaLaSe2 after structural relaxation.

Cell lengths 4.3468, 4.3468, 7.1056 Å; angles 107.81, 107.81, 90.00 degrees
Atoms (fractional coordinates):
Ba (0.5000, 0.5000, 0.0000)
La (0.2500, 0.7500, 0.5000)
Se (0.0000, 0.0000, 0.0000)
Se (0.7500, 0.2500, 0.5000)

Computed properties:
For the uncorrected formation energy, the calculation gives -1.48 eV/atom. Its total moment is 0.030 μB per atom. The total energy comes out at -21.13 eV/cell. Its symmetry is I-4m2. The polymorph energy (0 for the lowest one) is 520.3 meV/atom.

---

[5]
VASP calculation (PBEsol) on ZrSc after structural relaxation.

Cell lengths 3.2201, 3.2201, 5.0645 Å; angles 90.00, 90.00, 120.00 degrees
Atoms (fractional coordinates):
Sc (0.0000, 0.0000, 0.5000)
Zr (0.3333, 0.6667, 0.0000)

Computed properties:
Its total moment is 0.000 μB per atom. The total energy comes out at -15.67 eV/cell. Its symmetry is P-6m2.

---

[6]
VASP calculation (PBEsol) on KNiN2O after structural relaxation.

Cell lengths 3.7686, 3.7686, 4.0968 Å; angles 90.00, 90.00, 90.00 degrees
Atoms (fractional coordinates):
Ni (0.0000, 0.0000, 0.0000)
K (0.5000, 0.5000, 0.5000)
O (0.0000, 0.0000, 0.5000)
N (0.0000, 0.5000, 0.0000)
N (0.5000, 0.0000, 0.0000)

Computed properties:
For the uncorrected formation energy, the calculation gives 0.69 eV/atom. Its total moment is 0.845 μB per atom. The total energy comes out at -26.15 eV/cell. Its symmetry is P4/mmm.

---

[7]
VASP calculation (PBEsol) on As2P2Se after structural relaxation.

Cell lengths 4.0134, 4.0134, 6.5855 Å; angles 107.74, 107.74, 90.00 degrees
Atoms (fractional coordinates):
P (0.2500, 0.7500, 0.5000)
P (0.7500, 0.2500, 0.5000)
As (0.3757, 0.3757, 0.7514)
As (0.6243, 0.6243, 0.2486)
Se (0.0000, 0.0000, 0.0000)

Computed properties:
For the uncorrected formation energy, the calculation gives 0.38 eV/atom. Its total moment is 0.000 μB per atom. The total energy comes out at -23.72 eV/cell. Its symmetry is I4/mmm.

---

[8]
VASP calculation (PBEsol) on LiCuF2 after structural relaxation.

Cell lengths 5.6590, 5.1654, 5.6700 Å; angles 97.28, 90.00, 90.00 degrees
Atoms (fractional coordinates):
Li (0.1159, 0.7500, 0.5001)
Li (0.3841, 0.2500, 0.5001)
Li (0.6159, 0.7500, 0.4999)
Li (0.8841, 0.2500, 0.4999)
Cu (0.7499, 0.5000, 0.9999)
Cu (0.7501, 0.0000, 0.9999)
Cu (0.2499, 0.0000, 0.0001)
Cu (0.2501, 0.5000, 0.0001)
F (0.1367, 0.0541, 0.3082)
F (0.3633, 0.5541, 0.3082)
F (0.8633, 0.5541, 0.3080)
F (0.6367, 0.0541, 0.3080)
F (0.3633, 0.9459, 0.6920)
F (0.1367, 0.4459, 0.6920)
F (0.6367, 0.4459, 0.6918)
F (0.8633, 0.9459, 0.6918)

Computed properties:
For the uncorrected formation energy, the calculation gives -1.98 eV/atom. Its total moment is 0.000 μB per atom. The total energy comes out at -72.37 eV/cell. Its symmetry is P2/c.

---

[9]
VASP calculation (PBEsol) on TiBeHg3 after structural relaxation.

Cell lengths 5.2574, 5.2574, 5.2574 Å; angles 90.00, 90.00, 90.00 degrees
Atoms (fractional coordinates):
Be (0.5000, 0.5000, 0.5000)
Hg (0.0000, 0.5000, 0.0000)
Hg (0.0000, 0.0000, 0.5000)
Hg (0.5000, 0.0000, 0.0000)
Ti (0.0000, 0.0000, 0.0000)

Computed properties:
Its total moment is 0.462 μB per atom. The total energy comes out at -8.44 eV/cell. Its symmetry is Pm-3m.

---

[10]
VASP calculation (PBEsol) on Ti2B2Rh after structural relaxation.

Cell lengths 3.3243, 5.7011, 5.7011 Å; angles 90.00, 90.00, 90.00 degrees
Atoms (fractional coordinates):
B (0.0000, 0.3877, 0.8877)
B (0.0000, 0.8877, 0.6123)
B (0.0000, 0.6123, 0.1123)
B (0.0000, 0.1123, 0.3877)
Rh (0.0000, 0.0000, 0.0000)
Rh (0.0000, 0.5000, 0.5000)
Ti (0.5000, 0.1753, 0.6753)
Ti (0.5000, 0.6753, 0.8247)
Ti (0.5000, 0.8247, 0.3247)
Ti (0.5000, 0.3247, 0.1753)

Computed properties:
Its total moment is 0.000 μB per atom. The total energy comes out at -86.93 eV/cell. Its symmetry is P4/mbm.

---

[11]
VASP calculation (PBEsol) on TiSeN2F after structural relaxation.

Cell lengths 3.7376, 4.0178, 4.0178 Å; angles 90.00, 90.00, 90.00 degrees
Atoms (fractional coordinates):
N (0.0000, 0.0000, 0.5000)
N (0.0000, 0.5000, 0.0000)
F (0.5000, 0.0000, 0.0000)
Se (0.5000, 0.5000, 0.5000)
Ti (0.0000, 0.0000, 0.0000)

Computed properties:
For the uncorrected formation energy, the calculation gives -0.30 eV/atom. Its total moment is 0.000 μB per atom. The total energy comes out at -32.66 eV/cell. Its symmetry is P4/mmm. The polymorph energy (0 for the lowest one) is 0.0 meV/atom.

---

[12]
VASP calculation (PBEsol) on Na2YBr2 after structural relaxation.

Cell lengths 3.7961, 3.7961, 9.5376 Å; angles 101.48, 101.48, 90.00 degrees
Atoms (fractional coordinates):
Y (0.0000, 0.0000, 0.0000)
Na (0.2500, 0.7500, 0.5000)
Na (0.7500, 0.2500, 0.5000)
Br (0.4127, 0.4127, 0.8254)
Br (0.5873, 0.5873, 0.1746)

Computed properties:
For the uncorrected formation energy, the calculation gives -0.64 eV/atom. Its total moment is 0.000 μB per atom. The total energy comes out at -16.54 eV/cell. Its symmetry is I4/mmm.

---

- What is the total moment in the eighth record?
  0.000 μB per atom

---

- Look up the total moment of the sixth one.
  0.845 μB per atom

---

- total moment of number 10 (Ti2B2Rh)?
  0.000 μB per atom